1.
A geometry-optimized CaPBr structure. Source: Alexandria via LeMat-Bulk, functional PBE.

Values from the calculation:
Its calculated volume is 30.04 A^3/atom. The calculation puts the calculated total energy at -3.74 eV/atom. Its crystal system is tetragonal.

Structure (POSCAR):
```
CaPBr
1.0
-2.6333 -5.5573 0.2444
-1.3051 -3.4334 -4.9382
4.5686 3.2707 2.5116
P Br Ca
1 1 1
Direct
0.2512 0.2512 0.0000
0.0292 0.0292 0.0000
0.7196 0.7196 0.0000
```

2.
A geometry-optimized Ca5PrMg4 structure. Source: Alexandria via LeMat-Bulk, functional PBE.

Values from the calculation:
Its calculated volume is 32.67 A^3/atom. The calculation puts the calculated total energy at -2.15 eV/atom. The formation energy comes out at -0.03 eV/atom. Its crystal system is tetragonal.

Structure (POSCAR):
```
Ca5PrMg4
1.0
3.8818 0.0000 0.0000
0.0000 3.8818 0.0000
0.0000 0.0000 21.6819
Ca Mg Pr
5 4 1
Direct
0.5000 0.5000 0.6883
0.5000 0.5000 0.5000
0.5000 0.5000 0.8780
0.5000 0.5000 0.3117
0.5000 0.5000 0.1220
0.0000 0.0000 0.2167
0.0000 0.0000 0.5930
0.0000 0.0000 0.4070
0.0000 0.0000 0.7833
0.0000 0.0000 0.0000
```

3.
A geometry-optimized ZrRe2Hg structure. Source: Alexandria via LeMat-Bulk, functional PBE.

Values from the calculation:
Its calculated volume is 18.02 A^3/atom. The calculation puts the calculated total energy at -8.04 eV/atom. The formation energy comes out at 0.39 eV/atom. Its crystal system is monoclinic.

Structure (POSCAR):
```
ZrRe2Hg
1.0
4.8425 0.0000 0.0000
0.0000 2.8326 -0.0136
0.0000 0.3520 5.2543
Hg Re Zr
1 2 1
Direct
0.5000 0.7500 0.7500
0.0000 0.5816 0.4781
0.0000 0.9184 0.0219
0.5000 0.2500 0.2500
```

4.
A geometry-optimized La5Tb2Er4 structure. Source: Alexandria via LeMat-Bulk, functional PBE.

Values from the calculation:
Its calculated volume is 35.40 A^3/atom. The calculation puts the calculated total energy at -4.57 eV/atom. The formation energy comes out at 0.18 eV/atom. Its crystal system is orthorhombic.

Structure (POSCAR):
```
La5Tb2Er4
1.0
-2.9421 1.9408 0.4284
-4.7602 -6.0977 -5.0679
1.2421 -4.0432 12.1359
Tb La Er
2 5 4
Direct
0.2694 0.2694 0.5388
0.7306 0.7306 0.4612
0.5000 0.0000 0.0000
0.8537 0.6522 0.7073
0.1463 0.9449 0.2927
0.1463 0.3478 0.2927
0.8537 0.0551 0.7073
0.4039 0.4039 0.8079
0.0000 0.6825 0.0000
0.0000 0.3175 0.0000
0.5961 0.5961 0.1921
```

5.
A geometry-optimized LiNb2Zn2 structure. Source: Alexandria via LeMat-Bulk, functional PBE.

Values from the calculation:
Its calculated volume is 18.36 A^3/atom. The calculation puts the calculated total energy at -4.71 eV/atom. The formation energy comes out at 0.21 eV/atom. Its crystal system is tetragonal.

Structure (POSCAR):
```
LiNb2Zn2
1.0
-3.0824 -6.7480 3.5793
6.6722 -4.2576 -2.2809
1.2219 0.6722 2.3195
Li Nb Zn
2 4 4
Direct
0.5000 0.5000 0.0000
0.0000 0.0000 0.0000
0.8862 0.6138 0.0000
0.1138 0.3862 0.0000
0.3862 0.8862 0.0000
0.6138 0.1138 0.0000
0.1817 0.6817 0.5000
0.3183 0.1817 0.5000
0.8183 0.3183 0.5000
0.6817 0.8183 0.5000
```

6.
A geometry-optimized TlCo4W structure. Source: Alexandria via LeMat-Bulk, functional PBE.

Values from the calculation:
Its calculated volume is 12.89 A^3/atom. The calculation puts the calculated total energy at -6.92 eV/atom. The formation energy comes out at 0.37 eV/atom. Its crystal system is cubic.

Structure (POSCAR):
```
TlCo4W
1.0
0.4837 -4.0521 -2.4931
2.3985 -3.6885 1.8739
-2.3492 -3.9378 1.3580
W Co Tl
1 4 1
Direct
0.0000 0.0000 0.0000
0.3746 0.3746 0.3746
0.8761 0.3746 0.3746
0.3746 0.8761 0.3746
0.3746 0.3746 0.8761
0.7500 0.7500 0.7500
```

7.
A geometry-optimized MnPdN2 structure. Source: Alexandria via LeMat-Bulk, functional PBE.

Values from the calculation:
Its calculated volume is 11.40 A^3/atom. The calculation puts the calculated total energy at -7.60 eV/atom. Its crystal system is tetragonal.

Structure (POSCAR):
```
MnPdN2
1.0
-3.4787 3.0069 -0.1460
-2.7267 -3.0526 2.1002
-1.9082 1.5450 4.8070
Pd N Mn
2 4 2
Direct
0.0000 0.0000 0.0000
0.7500 0.2500 0.5000
0.3750 0.4404 0.7500
0.5596 0.1250 0.2500
0.8750 0.8096 0.7500
0.1904 0.6250 0.2500
0.5000 0.5000 0.0000
0.2500 0.7500 0.5000
```

8.
A geometry-optimized Ho2Mg3Ga4 structure. Source: Alexandria via LeMat-Bulk, functional PBE.

Values from the calculation:
Its calculated volume is 21.08 A^3/atom. The calculation puts the calculated total energy at -3.24 eV/atom. The formation energy comes out at -0.35 eV/atom. Its crystal system is orthorhombic.

Structure (POSCAR):
```
Ho2Mg3Ga4
1.0
6.0240 0.0000 0.0000
0.0000 7.6283 0.0000
-3.0120 0.0000 8.2555
Ga Ho Mg
8 4 6
Direct
0.6642 0.5234 0.3283
0.1834 0.7500 0.8669
0.3166 0.2500 0.1331
0.3358 0.4766 0.6717
0.1642 0.9766 0.3283
0.8166 0.2500 0.1331
0.6834 0.7500 0.8669
0.8358 0.0234 0.6717
0.9033 0.4020 0.8065
0.4033 0.0980 0.8065
0.0967 0.5980 0.1935
0.5967 0.9020 0.1935
0.9852 0.2500 0.4703
0.0000 0.0000 0.0000
0.5148 0.7500 0.5297
0.0148 0.7500 0.5297
0.5000 0.5000 0.0000
0.4852 0.2500 0.4703
```

9.
A geometry-optimized HfZrPa structure. Source: Alexandria via LeMat-Bulk, functional PBE.

Values from the calculation:
Its calculated volume is 23.05 A^3/atom. The calculation puts the calculated total energy at -9.19 eV/atom. The formation energy comes out at 0.14 eV/atom. Its crystal system is tetragonal.

Structure (POSCAR):
```
HfZrPa
1.0
3.5634 0.0000 0.0000
0.0000 3.5634 0.0000
-1.7817 -1.7817 5.4465
Pa Zr Hf
1 1 1
Direct
0.6182 0.6182 0.2364
0.2767 0.2767 0.5534
0.9551 0.9551 0.9103
```

10.
A geometry-optimized Na4B7C structure. Source: Alexandria via LeMat-Bulk, functional PBE.

Values from the calculation:
Its calculated volume is 11.03 A^3/atom. The calculation puts the calculated total energy at -4.88 eV/atom. The formation energy comes out at 0.23 eV/atom. Its crystal system is monoclinic.

Structure (POSCAR):
```
Na4B7C
1.0
-3.4647 9.2050 1.9233
-5.7678 4.7637 5.1725
3.8416 3.8273 2.4859
B Na C
14 8 2
Direct
0.7029 0.0483 0.4604
0.7971 0.4517 0.5396
0.5522 0.1978 0.8022
0.4586 0.7914 0.7086
0.9475 0.3024 0.7294
0.0206 0.7293 0.8025
0.0414 0.7086 0.2914
0.4794 0.7707 0.1975
0.2104 0.5384 0.9529
0.2896 0.9616 0.0471
0.5525 0.1976 0.2706
0.2114 0.5386 0.4614
0.9478 0.3022 0.1978
0.2886 0.9614 0.5386
0.0003 0.9997 0.9998
0.4995 0.5001 0.5004
0.7502 0.7498 0.7497
0.7498 0.7502 0.2503
0.0005 0.9999 0.4996
0.2504 0.2499 0.7495
0.4997 0.5003 0.0002
0.2496 0.2501 0.2505
0.7915 0.4585 0.0415
0.7085 0.0415 0.9585
```

11.
A geometry-optimized MgB2N2 structure. Source: Alexandria via LeMat-Bulk, functional PBE.

Values from the calculation:
Its calculated volume is 15.49 A^3/atom. The calculation puts the calculated total energy at -6.29 eV/atom. Its crystal system is tetragonal.

Structure (POSCAR):
```
MgB2N2
1.0
2.7982 0.0000 0.0000
0.0000 2.7982 0.0000
1.3991 1.3991 9.8895
N B Mg
2 2 1
Direct
0.2874 0.2874 0.4252
0.7126 0.7126 0.5748
0.2500 0.7500 0.5000
0.7500 0.2500 0.5000
0.0000 0.0000 0.0000
```

12.
A geometry-optimized Y4TcCl structure. Source: Alexandria via LeMat-Bulk, functional PBE.

Values from the calculation:
Its calculated volume is 28.81 A^3/atom. The calculation puts the calculated total energy at -5.54 eV/atom. Its crystal system is cubic.

Structure (POSCAR):
```
Y4TcCl
1.0
2.9490 -3.2190 4.4769
4.0562 2.8953 3.7769
-1.4524 0.9507 6.0073
Y Cl Tc
4 1 1
Direct
0.8816 0.3728 0.3728
0.3728 0.8816 0.3728
0.3728 0.3728 0.3728
0.3728 0.3728 0.8816
0.7500 0.7500 0.7500
0.0000 0.0000 0.0000
```

What is the calculated volume in the third record?
18.02 A^3/atom